Record 1
DyAgHg5 | PBE-GGA | optimized geometry

a = 4.890 Å, b = 4.890 Å, c = 7.164 Å
α = 90.00°, β = 90.00°, γ = 90.00°
Fractional positions:
1 Hg 0.500 0.000 0.283
2 Hg 0.500 0.000 0.717
3 Hg 0.000 0.500 0.283
4 Hg 0.000 0.500 0.717
5 Hg 0.500 0.500 0.000
6 Ag 0.000 0.000 0.500
7 Dy 0.000 0.000 0.000

Output
Density of states at the Fermi level ... 0.45 states/eV per atom
E_form ... -0.185 eV per atom
Volume ... 171 Å³/f.u.

---

Record 2
Cs2PSBr5 | PBE-GGA | optimized geometry

a = 7.720 Å, b = 7.720 Å, c = 7.720 Å
α = 88.71°, β = 120.75°, γ = 120.75°
Fractional positions:
1 Cs 0.500 0.253 0.753
2 Cs 0.500 0.753 0.253
3 S 0.000 0.794 0.794
4 P 0.000 0.977 0.977
5 Br 0.543 0.774 0.774
6 Br 0.457 0.231 0.231
7 Br 0.000 0.231 0.774
8 Br 0.000 0.774 0.231
9 Br 0.000 0.215 0.215

Output
Density of states at the Fermi level ... 0.65 states/eV per atom
Volume ... 322 Å³/f.u.
Formation energy (no corrections) ... -0.798 eV/atom

---

Record 3
La2Pm4YHo2 | PBE-GGA | optimized geometry

a = 3.674 Å, b = 9.686 Å, c = 9.738 Å
α = 115.27°, β = 90.00°, γ = 100.93°
Fractional positions:
1 Pm 0.481 0.962 0.663
2 Pm 0.186 0.372 0.335
3 Pm 0.814 0.628 0.665
4 Pm 0.519 0.038 0.337
5 Ho 0.852 0.704 0.335
6 Ho 0.148 0.296 0.665
7 La 0.666 0.332 0.998
8 La 0.334 0.668 0.002
9 Y 0.000 0.000 0.000

Output
Density of states at the Fermi level ... 1.40 states/eV per atom
E_form ... 0.005 eV per atom
Volume ... 306 Å³/f.u.

---

Record 4
ScAl3Co | PBE-GGA | optimized geometry

a = 5.217 Å, b = 8.109 Å, c = 7.744 Å
α = 99.93°, β = 90.00°, γ = 90.00°
Fractional positions:
1 Sc 0.612 0.718 0.633
2 Sc 0.112 0.782 0.367
3 Sc 0.388 0.282 0.367
4 Sc 0.888 0.218 0.633
5 Al 0.140 0.557 0.629
6 Al 0.414 0.361 0.784
7 Al 0.165 0.433 0.096
8 Al 0.860 0.443 0.371
9 Al 0.835 0.567 0.904
10 Al 0.665 0.067 0.904
11 Al 0.360 0.057 0.629
12 Al 0.914 0.139 0.216
13 Al 0.640 0.943 0.371
14 Al 0.335 0.933 0.096
15 Al 0.086 0.861 0.784
16 Al 0.586 0.639 0.216
17 Co 0.658 0.353 0.055
18 Co 0.842 0.853 0.055
19 Co 0.342 0.647 0.945
20 Co 0.158 0.147 0.945

Output
Density of states at the Fermi level ... 0.66 states/eV per atom
E_form ... -0.344 eV per atom
Volume ... 81 Å³/f.u.
Energy relative to the lowest polymorph listed for this composition ... 157.2 meV per atom

---

Record 5
Y2CoAu | PBE-GGA | optimized geometry

a = 4.321 Å, b = 3.902 Å, c = 5.607 Å
α = 69.63°, β = 90.00°, γ = 90.00°
Fractional positions:
1 Co 0.500 0.544 0.787
2 Au 0.000 0.699 0.477
3 Y 0.000 0.985 0.905
4 Y 0.500 0.272 0.330

Output
Density of states at the Fermi level ... 0.84 states/eV per atom
E_form ... -0.469 eV per atom
Volume ... 89 Å³/f.u.

---

Record 6
K2TlGa3F12 | PBE-GGA | optimized geometry

a = 7.436 Å, b = 7.436 Å, c = 7.436 Å
α = 60.23°, β = 60.23°, γ = 60.23°
Fractional positions:
1 K 0.627 0.627 0.627
2 K 0.373 0.373 0.373
3 Ga 0.000 0.000 0.500
4 Ga 0.000 0.500 0.000
5 Ga 0.500 0.000 0.000
6 Tl 0.000 0.000 0.000
7 F 0.873 0.873 0.456
8 F 0.722 0.108 0.722
9 F 0.127 0.544 0.127
10 F 0.892 0.278 0.278
11 F 0.278 0.892 0.278
12 F 0.722 0.722 0.108
13 F 0.544 0.127 0.127
14 F 0.108 0.722 0.722
15 F 0.127 0.127 0.544
16 F 0.456 0.873 0.873
17 F 0.278 0.278 0.892
18 F 0.873 0.456 0.873

Output
Density of states at the Fermi level ... 0.00 states/eV per atom
Volume ... 292 Å³/f.u.
Formation energy (no corrections) ... -2.627 eV/atom